1:
# YZrW

A relaxed YZrW crystal (PBE, Alexandria).

Geometry as CIF:
```
data_YZrW
_chemical_formula_sum 'Y1 Zr1 W1'
_cell_length_a 4.7271
_cell_length_b 4.7271
_cell_length_c 4.7271
_cell_angle_alpha 60.00
_cell_angle_beta 60.00
_cell_angle_gamma 60.00
_symmetry_space_group_name_H-M 'P 1'
_symmetry_Int_Tables_number 1
loop_
_symmetry_equiv_pos_as_xyz
'x,y,z'
loop_
_atom_site_label
_atom_site_type_symbol
_atom_site_fract_x
_atom_site_fract_y
_atom_site_fract_z
_atom_site_occupancy
W1 W 0.7500 0.7500 0.7500 1
Y1 Y 0.0000 0.0000 0.0000 1
Zr1 Zr 0.5000 0.5000 0.5000 1
```

Results
calculated density	8092	kg/m3
magnetization	0.0	μB/cell
space-group type	F-43m (216)



2:
# YZrW

A relaxed YZrW crystal (PBE, Alexandria).

Geometry as CIF:
```
data_YZrW
_chemical_formula_sum 'Y1 Zr1 W1'
_cell_length_a 5.2837
_cell_length_b 5.2837
_cell_length_c 5.2837
_cell_angle_alpha 147.60
_cell_angle_beta 123.75
_cell_angle_gamma 66.42
_symmetry_space_group_name_H-M 'P 1'
_symmetry_Int_Tables_number 1
loop_
_symmetry_equiv_pos_as_xyz
'x,y,z'
loop_
_atom_site_label
_atom_site_type_symbol
_atom_site_fract_x
_atom_site_fract_y
_atom_site_fract_z
_atom_site_occupancy
W1 W 0.9987 0.9987 0.0000 1
Y1 Y 0.3362 0.3362 0.0000 1
Zr1 Zr 0.6650 0.6650 0.0000 1
```

Results
calculated density	9310	kg/m3
magnetization	0.0	μB/cell
space-group type	Imm2 (44)



3:
# YZrW

A relaxed YZrW crystal (PBE, Alexandria).

Geometry as CIF:
```
data_YZrW
_chemical_formula_sum 'Y1 Zr1 W1'
_cell_length_a 3.3472
_cell_length_b 3.3472
_cell_length_c 7.2034
_cell_angle_alpha 90.00
_cell_angle_beta 90.00
_cell_angle_gamma 120.00
_symmetry_space_group_name_H-M 'P 1'
_symmetry_Int_Tables_number 1
loop_
_symmetry_equiv_pos_as_xyz
'x,y,z'
loop_
_atom_site_label
_atom_site_type_symbol
_atom_site_fract_x
_atom_site_fract_y
_atom_site_fract_z
_atom_site_occupancy
W1 W 0.0000 0.0000 0.9822 1
Y1 Y 0.3333 0.6667 0.3039 1
Zr1 Zr 0.6667 0.3333 0.7138 1
```

Results
calculated density	8647	kg/m3
magnetization	0.0	μB/cell
space-group type	P3m1 (156)



Relative energies, meV/atom: 1 229; 2 0; 3 37.



1:
# YZr3W

A relaxed YZr3W crystal (PBE, Alexandria).

Geometry as CIF:
```
data_YZr3W
_chemical_formula_sum 'Y1 Zr3 W1'
_cell_length_a 5.1616
_cell_length_b 5.1616
_cell_length_c 5.1616
_cell_angle_alpha 90.00
_cell_angle_beta 90.00
_cell_angle_gamma 90.00
_symmetry_space_group_name_H-M 'P 1'
_symmetry_Int_Tables_number 1
loop_
_symmetry_equiv_pos_as_xyz
'x,y,z'
loop_
_atom_site_label
_atom_site_type_symbol
_atom_site_fract_x
_atom_site_fract_y
_atom_site_fract_z
_atom_site_occupancy
Y1 Y 0.5000 0.5000 0.5000 1
Zr1 Zr 0.0000 0.5000 0.0000 1
Zr2 Zr 0.0000 0.0000 0.5000 1
Zr3 Zr 0.5000 0.0000 0.0000 1
W1 W 0.0000 0.0000 0.0000 1
```

Results
calculated density	6598	kg/m3
magnetization	0.0	μB/cell
space-group type	Pm-3m (221)



2:
# YZr3W

A relaxed YZr3W crystal (PBE, Alexandria).

Geometry as CIF:
```
data_YZr3W
_chemical_formula_sum 'Y1 Zr3 W1'
_cell_length_a 5.0061
_cell_length_b 5.0061
_cell_length_c 5.0061
_cell_angle_alpha 90.00
_cell_angle_beta 90.00
_cell_angle_gamma 90.00
_symmetry_space_group_name_H-M 'P 1'
_symmetry_Int_Tables_number 1
loop_
_symmetry_equiv_pos_as_xyz
'x,y,z'
loop_
_atom_site_label
_atom_site_type_symbol
_atom_site_fract_x
_atom_site_fract_y
_atom_site_fract_z
_atom_site_occupancy
Y1 Y 0.0000 0.0000 0.0000 1
Zr1 Zr 0.0000 0.5000 0.0000 1
Zr2 Zr 0.0000 0.0000 0.5000 1
Zr3 Zr 0.5000 0.0000 0.0000 1
W1 W 0.5000 0.5000 0.5000 1
```

Results
calculated density	7232	kg/m3
magnetization	0.0	μB/cell
space-group type	Pm-3m (221)



Relative energies, meV/atom: 1 0; 2 1443.



1:
# Yb3W

A relaxed Yb3W crystal (PBE, Alexandria).

Geometry as CIF:
```
data_Yb3W
_chemical_formula_sum 'Yb3 W1'
_cell_length_a 5.2649
_cell_length_b 5.2649
_cell_length_c 5.2649
_cell_angle_alpha 60.00
_cell_angle_beta 60.00
_cell_angle_gamma 60.00
_symmetry_space_group_name_H-M 'P 1'
_symmetry_Int_Tables_number 1
loop_
_symmetry_equiv_pos_as_xyz
'x,y,z'
loop_
_atom_site_label
_atom_site_type_symbol
_atom_site_fract_x
_atom_site_fract_y
_atom_site_fract_z
_atom_site_occupancy
Yb1 Yb 0.7500 0.7500 0.7500 1
Yb2 Yb 0.2500 0.2500 0.2500 1
Yb3 Yb 0.5000 0.5000 0.5000 1
W1 W 0.0000 0.0000 0.0000 1
```

Results
calculated density	11312	kg/m3
magnetization	2.2	μB/cell
space-group type	Fm-3m (225)



2:
# Yb3W

A relaxed Yb3W crystal (PBE, Alexandria).

Geometry as CIF:
```
data_Yb3W
_chemical_formula_sum 'Yb6 W2'
_cell_length_a 6.7574
_cell_length_b 6.7574
_cell_length_c 5.2371
_cell_angle_alpha 90.00
_cell_angle_beta 90.00
_cell_angle_gamma 120.00
_symmetry_space_group_name_H-M 'P 1'
_symmetry_Int_Tables_number 1
loop_
_symmetry_equiv_pos_as_xyz
'x,y,z'
loop_
_atom_site_label
_atom_site_type_symbol
_atom_site_fract_x
_atom_site_fract_y
_atom_site_fract_z
_atom_site_occupancy
Yb1 Yb 0.1766 0.3531 0.2500 1
Yb2 Yb 0.6469 0.8234 0.2500 1
Yb3 Yb 0.1766 0.8234 0.2500 1
Yb4 Yb 0.8234 0.6469 0.7500 1
Yb5 Yb 0.3531 0.1766 0.7500 1
Yb6 Yb 0.8234 0.1766 0.7500 1
W1 W 0.3333 0.6667 0.7500 1
W2 W 0.6667 0.3333 0.2500 1
```

Results
calculated density	11273	kg/m3
magnetization	3.6	μB/cell
space-group type	P6_3/mmc (194)



Relative energies, meV/atom: 1 28; 2 0.



1:
# Zn2W3

A relaxed Zn2W3 crystal (PBE, Alexandria).

Geometry as CIF:
```
data_Zn2W3
_chemical_formula_sum 'Zn2 W3'
_cell_length_a 4.2265
_cell_length_b 4.2265
_cell_length_c 5.2799
_cell_angle_alpha 90.00
_cell_angle_beta 90.00
_cell_angle_gamma 120.00
_symmetry_space_group_name_H-M 'P 1'
_symmetry_Int_Tables_number 1
loop_
_symmetry_equiv_pos_as_xyz
'x,y,z'
loop_
_atom_site_label
_atom_site_type_symbol
_atom_site_fract_x
_atom_site_fract_y
_atom_site_fract_z
_atom_site_occupancy
Zn1 Zn 0.6667 0.3333 0.1638 1
Zn2 Zn 0.3333 0.6667 0.8362 1
W1 W 0.0000 0.0000 0.0000 1
W2 W 0.6667 0.3333 0.6473 1
W3 W 0.3333 0.6667 0.3527 1
```

Results
calculated density	13872	kg/m3
magnetization	0.0	μB/cell
space-group type	P-3m1 (164)



2:
# Zn2W3

A relaxed Zn2W3 crystal (PBE, Alexandria).

Geometry as CIF:
```
data_Zn2W3
_chemical_formula_sum 'Zn2 W3'
_cell_length_a 11.7187
_cell_length_b 11.7187
_cell_length_c 11.7187
_cell_angle_alpha 13.68
_cell_angle_beta 13.68
_cell_angle_gamma 13.68
_symmetry_space_group_name_H-M 'P 1'
_symmetry_Int_Tables_number 1
loop_
_symmetry_equiv_pos_as_xyz
'x,y,z'
loop_
_atom_site_label
_atom_site_type_symbol
_atom_site_fract_x
_atom_site_fract_y
_atom_site_fract_z
_atom_site_occupancy
Zn1 Zn 0.6017 0.6017 0.6017 1
Zn2 Zn 0.3983 0.3983 0.3983 1
W1 W 0.0000 0.0000 0.0000 1
W2 W 0.7984 0.7984 0.7984 1
W3 W 0.2016 0.2016 0.2016 1
```

Results
calculated density	14461	kg/m3
magnetization	0.0	μB/cell
space-group type	R-3m (166)



Relative energies, meV/atom: 1 639; 2 0.



1:
# Zn3W4

A relaxed Zn3W4 crystal (PBE, Alexandria).

Geometry as CIF:
```
data_Zn3W4
_chemical_formula_sum 'Zn3 W4'
_cell_length_a 10.4088
_cell_length_b 10.4088
_cell_length_c 10.4088
_cell_angle_alpha 161.78
_cell_angle_beta 161.78
_cell_angle_gamma 25.87
_symmetry_space_group_name_H-M 'P 1'
_symmetry_Int_Tables_number 1
loop_
_symmetry_equiv_pos_as_xyz
'x,y,z'
loop_
_atom_site_label
_atom_site_type_symbol
_atom_site_fract_x
_atom_site_fract_y
_atom_site_fract_z
_atom_site_occupancy
Zn1 Zn 0.0000 0.0000 0.0000 1
Zn2 Zn 0.7174 0.7174 0.0000 1
Zn3 Zn 0.2826 0.2826 0.0000 1
W1 W 0.8635 0.8635 0.0000 1
W2 W 0.5749 0.5749 0.0000 1
W3 W 0.4251 0.4251 0.0000 1
W4 W 0.1365 0.1365 0.0000 1
```

Results
calculated density	14040	kg/m3
magnetization	0.0	μB/cell
space-group type	I4/mmm (139)



2:
# Zn3W4

A relaxed Zn3W4 crystal (PBE, Alexandria).

Geometry as CIF:
```
data_Zn3W4
_chemical_formula_sum 'Zn3 W4'
_cell_length_a 4.8810
_cell_length_b 4.8810
_cell_length_c 5.0493
_cell_angle_alpha 90.00
_cell_angle_beta 90.00
_cell_angle_gamma 120.00
_symmetry_space_group_name_H-M 'P 1'
_symmetry_Int_Tables_number 1
loop_
_symmetry_equiv_pos_as_xyz
'x,y,z'
loop_
_atom_site_label
_atom_site_type_symbol
_atom_site_fract_x
_atom_site_fract_y
_atom_site_fract_z
_atom_site_occupancy
Zn1 Zn 0.0000 0.5000 0.0000 1
Zn2 Zn 0.5000 0.5000 0.0000 1
Zn3 Zn 0.5000 0.0000 0.0000 1
W1 W 0.0000 0.0000 0.2583 1
W2 W 0.0000 0.0000 0.7417 1
W3 W 0.6667 0.3333 0.5000 1
W4 W 0.3333 0.6667 0.5000 1
```

Results
calculated density	14849	kg/m3
magnetization	0.0	μB/cell
space-group type	P6/mmm (191)



Relative energies, meV/atom: 1 8; 2 0.



1:
# ZrZn3W

A relaxed ZrZn3W crystal (PBE, Alexandria).

Geometry as CIF:
```
data_ZrZn3W
_chemical_formula_sum 'Zr1 Zn3 W1'
_cell_length_a 4.8656
_cell_length_b 4.8656
_cell_length_c 4.8656
_cell_angle_alpha 90.00
_cell_angle_beta 90.00
_cell_angle_gamma 90.00
_symmetry_space_group_name_H-M 'P 1'
_symmetry_Int_Tables_number 1
loop_
_symmetry_equiv_pos_as_xyz
'x,y,z'
loop_
_atom_site_label
_atom_site_type_symbol
_atom_site_fract_x
_atom_site_fract_y
_atom_site_fract_z
_atom_site_occupancy
Zn1 Zn 0.0000 0.5000 0.0000 1
Zn2 Zn 0.0000 0.0000 0.5000 1
Zn3 Zn 0.5000 0.0000 0.0000 1
Zr1 Zr 0.0000 0.0000 0.0000 1
W1 W 0.5000 0.5000 0.5000 1
```

Results
calculated density	6794	kg/m3
magnetization	0.0	μB/cell
space-group type	Pm-3m (221)



2:
# ZrZn3W

A relaxed ZrZn3W crystal (PBE, Alexandria).

Geometry as CIF:
```
data_ZrZn3W
_chemical_formula_sum 'Zr1 Zn3 W1'
_cell_length_a 4.7409
_cell_length_b 4.7409
_cell_length_c 4.7409
_cell_angle_alpha 90.00
_cell_angle_beta 90.00
_cell_angle_gamma 90.00
_symmetry_space_group_name_H-M 'P 1'
_symmetry_Int_Tables_number 1
loop_
_symmetry_equiv_pos_as_xyz
'x,y,z'
loop_
_atom_site_label
_atom_site_type_symbol
_atom_site_fract_x
_atom_site_fract_y
_atom_site_fract_z
_atom_site_occupancy
Zn1 Zn 0.0000 0.5000 0.0000 1
Zn2 Zn 0.0000 0.0000 0.5000 1
Zn3 Zn 0.5000 0.0000 0.0000 1
Zr1 Zr 0.5000 0.5000 0.5000 1
W1 W 0.0000 0.0000 0.0000 1
```

Results
calculated density	7344	kg/m3
magnetization	0.0	μB/cell
space-group type	Pm-3m (221)



Relative energies, meV/atom: 1 1088; 2 0.